Entry 1:
# TiAs2F2 | Alexandria | PBE-GGA | relaxed
# Final energy: -48.80 eV for the cell shown
# Total moment: 0.0 μB per formula unit
data_TiAs2F2
_chemical_formula_sum 'Ti2 As4 F4'
_cell_length_a 3.439
_cell_length_b 3.439
_cell_length_c 12.203
_cell_angle_alpha 90.00
_cell_angle_beta 90.00
_cell_angle_gamma 90.00
_symmetry_space_group_name_H-M 'I 4/m m m'
_symmetry_Int_Tables_number 139
_symmetry_space_group_name_Hall '-I 4 2'
loop_
_atom_site_label
_atom_site_type_symbol
_atom_site_fract_x
_atom_site_fract_y
_atom_site_fract_z
Ti1 Ti 0.000 0.000 0.000
As1 As 0.000 0.000 0.390
F1 F 0.000 0.500 0.250

***

Entry 2:
# Al3GaAg12 | Alexandria | PBE-GGA | relaxed
# Final energy: -48.83 eV for the cell shown
# E_form: -22 meV per atom
# Total moment: 0.0 μB per formula unit
data_Al3GaAg12
_chemical_formula_sum 'Al3 Ga1 Ag12'
_cell_length_a 4.080
_cell_length_b 4.080
_cell_length_c 16.554
_cell_angle_alpha 90.00
_cell_angle_beta 90.00
_cell_angle_gamma 90.00
_symmetry_space_group_name_H-M 'P 4/m m m'
_symmetry_Int_Tables_number 123
_symmetry_space_group_name_Hall '-P 4 2'
loop_
_atom_site_label
_atom_site_type_symbol
_atom_site_fract_x
_atom_site_fract_y
_atom_site_fract_z
Al1 Al 0.000 0.000 0.000
Al2 Al 0.000 0.000 0.249
Ga1 Ga 0.000 0.000 0.500
Ag1 Ag 0.000 0.500 0.124
Ag2 Ag 0.000 0.500 0.373
Ag3 Ag 0.500 0.500 0.000
Ag4 Ag 0.500 0.500 0.249
Ag5 Ag 0.500 0.500 0.500

***

Entry 3:
# La5Co2Au2 | Alexandria | PBE-GGA | relaxed
# Final energy: -195.41 eV for the cell shown
# E_form: -383 meV per atom
# Total moment: 0.0 μB per formula unit
data_La5Co2Au2
_chemical_formula_sum 'La20 Co8 Au8'
_cell_length_a 15.864
_cell_length_b 7.713
_cell_length_c 7.713
_cell_angle_alpha 90.00
_cell_angle_beta 90.00
_cell_angle_gamma 90.00
_symmetry_space_group_name_H-M 'C m c e'
_symmetry_Int_Tables_number 64
_symmetry_space_group_name_Hall '-C 2ac 2'
loop_
_atom_site_label
_atom_site_type_symbol
_atom_site_fract_x
_atom_site_fract_y
_atom_site_fract_z
La1 La 0.000 0.000 0.000
La2 La 0.125 0.175 0.327
Co1 Co 0.000 0.122 0.620
Au1 Au 0.213 0.000 0.000

***

Entry 4:
# K2BaTa | Alexandria | PBE-GGA | relaxed
# Final energy: -21.93 eV for the cell shown
# E_form: 1251 meV per atom
# Total moment: 4.1 μB per formula unit
data_K2BaTa
_chemical_formula_sum 'K4 Ba2 Ta2'
_cell_length_a 5.218
_cell_length_b 5.218
_cell_length_c 13.036
_cell_angle_alpha 90.00
_cell_angle_beta 90.00
_cell_angle_gamma 90.00
_symmetry_space_group_name_H-M 'I 4/m m m'
_symmetry_Int_Tables_number 139
_symmetry_space_group_name_Hall '-I 4 2'
loop_
_atom_site_label
_atom_site_type_symbol
_atom_site_fract_x
_atom_site_fract_y
_atom_site_fract_z
K1 K 0.000 0.500 0.250
Ba1 Ba 0.000 0.000 0.000
Ta1 Ta 0.000 0.000 0.500

***

Entry 5:
# CaFePS2 | Alexandria | PBE-GGA | relaxed
# Final energy: -25.15 eV for the cell shown
# Total moment: 2.6 μB per formula unit
data_CaFePS2
_chemical_formula_sum 'Ca1 Fe1 P1 S2'
_cell_length_a 4.917
_cell_length_b 4.917
_cell_length_c 4.189
_cell_angle_alpha 90.00
_cell_angle_beta 90.00
_cell_angle_gamma 90.00
_symmetry_space_group_name_H-M 'P 4/m m m'
_symmetry_Int_Tables_number 123
_symmetry_space_group_name_Hall '-P 4 2'
loop_
_atom_site_label
_atom_site_type_symbol
_atom_site_fract_x
_atom_site_fract_y
_atom_site_fract_z
Ca1 Ca 0.000 0.000 0.000
Fe1 Fe 0.500 0.500 0.000
P1 P 0.500 0.500 0.500
S1 S 0.000 0.500 0.500

***

Entry 6:
# Rb3PuTe3 | Alexandria | PBE-GGA | relaxed
# Final energy: -133.59 eV for the cell shown
# Total moment: 5.0 μB per formula unit
data_Rb3PuTe3
_chemical_formula_sum 'Rb12 Pu4 Te12'
_cell_length_a 10.183
_cell_length_b 15.614
_cell_length_c 9.091
_cell_angle_alpha 90.00
_cell_angle_beta 99.68
_cell_angle_gamma 90.00
_symmetry_space_group_name_H-M 'C 1 2/m 1'
_symmetry_Int_Tables_number 12
_symmetry_space_group_name_Hall '-C 2y'
loop_
_atom_site_label
_atom_site_type_symbol
_atom_site_fract_x
_atom_site_fract_y
_atom_site_fract_z
Rb1 Rb 0.000 0.175 0.000
Rb2 Rb 0.000 0.241 0.500
Rb3 Rb 0.113 0.500 0.867
Pu1 Pu 0.184 0.000 0.639
Te1 Te 0.099 0.000 0.300
Te2 Te 0.184 0.345 0.220

***

Entry 7:
# Tl2In3SnHg4 | Alexandria | PBE-GGA | relaxed
# Final energy: -17.61 eV for the cell shown
# E_form: 55 meV per atom
# Total moment: 0.0 μB per formula unit
data_Tl2In3SnHg4
_chemical_formula_sum 'Tl2 In3 Sn1 Hg4'
_cell_length_a 4.792
_cell_length_b 4.792
_cell_length_c 12.782
_cell_angle_alpha 90.00
_cell_angle_beta 90.00
_cell_angle_gamma 90.00
_symmetry_space_group_name_H-M 'P -4 m 2'
_symmetry_Int_Tables_number 115
_symmetry_space_group_name_Hall 'P -4 -2'
loop_
_atom_site_label
_atom_site_type_symbol
_atom_site_fract_x
_atom_site_fract_y
_atom_site_fract_z
Tl1 Tl 0.000 0.500 0.243
In1 In 0.000 0.500 0.864
In2 In 0.500 0.500 0.500
Sn1 Sn 0.000 0.000 0.500
Hg1 Hg 0.000 0.000 0.000
Hg2 Hg 0.000 0.500 0.645
Hg3 Hg 0.500 0.500 0.000

***

Entry 8:
# Ti2TeSe | Alexandria | PBE-GGA | relaxed
# Final energy: -99.15 eV for the cell shown
# Total moment: 0.0 μB per formula unit
data_Ti2TeSe
_chemical_formula_sum 'Ti8 Te4 Se4'
_cell_length_a 6.647
_cell_length_b 6.647
_cell_length_c 6.647
_cell_angle_alpha 90.00
_cell_angle_beta 90.00
_cell_angle_gamma 90.00
_symmetry_space_group_name_H-M 'F m -3 m'
_symmetry_Int_Tables_number 225
_symmetry_space_group_name_Hall '-F 4 2 3'
loop_
_atom_site_label
_atom_site_type_symbol
_atom_site_fract_x
_atom_site_fract_y
_atom_site_fract_z
Ti1 Ti 0.250 0.250 0.250
Te1 Te 0.000 0.000 0.000
Se1 Se 0.000 0.000 0.500